Record 1
Compound: MgSiIr2
Source: Alexandria
Functional: PBEsol
Structure: optimized geometry

The structure in POSCAR format:
```
MgSiIr2
1.0
-1.687 -2.213 -0.229
-0.075 -0.292 4.942
-2.401 3.744 -2.259
Ir Mg Si
2 1 1
Cartesian
-1.201 1.872 -1.130 Ir
-2.082 0.619 1.227 Ir
-0.843 -1.107 -0.115 Mg
-0.038 -0.146 2.471 Si
```

Calculated values
Formation energy from raw total energies (eV/atom): -0.21
D(E_F) (states/eV per atom): 0.52



Record 2
Compound: Li3HO
Source: Alexandria
Functional: PBEsol
Structure: optimized geometry

The structure in POSCAR format:
```
Li3HO
1.0
3.698 0.000 0.000
0.000 3.698 0.000
0.000 0.000 3.698
H O Li
1 1 3
Cartesian
1.849 1.849 1.849 H
0.000 0.000 0.000 O
0.000 1.849 0.000 Li
0.000 0.000 1.849 Li
1.849 0.000 0.000 Li
```

Calculated values
VASP energy (eV/cell): -20.253
D(E_F) (states/eV per atom): 0.00



Record 3
Compound: AgIr2PbC
Source: Alexandria
Functional: PBEsol
Structure: optimized geometry

The structure in POSCAR format:
```
AgIr2PbC
1.0
4.825 0.000 0.000
0.000 4.825 0.000
0.000 0.000 5.063
Pb C Ir Ag
1 1 2 1
Cartesian
0.000 0.000 2.531 Pb
2.412 2.412 2.531 C
0.000 2.412 0.000 Ir
2.412 0.000 0.000 Ir
0.000 0.000 0.000 Ag
```

Calculated values
Formation energy from the elements (eV per atom): 3.2392
D(E_F) (states/eV per atom): 1.55



Record 4
Compound: SrBi5O9
Source: Alexandria
Functional: PBEsol
Structure: optimized geometry

The structure in POSCAR format:
```
SrBi5O9
1.0
-2.677 -0.815 2.851
4.984 -0.099 4.654
-0.872 9.476 -0.908
Sr Bi O
1 5 9
Cartesian
-0.068 0.024 0.065 Sr
1.297 2.904 2.173 Bi
-1.058 6.035 0.856 Bi
1.091 -0.446 3.817 Bi
2.232 2.558 5.751 Bi
0.163 5.468 4.643 Bi
0.633 5.851 2.395 O
-0.312 2.862 0.644 O
1.609 0.821 1.871 O
2.664 3.829 3.719 O
-1.250 8.067 1.256 O
1.770 5.732 6.225 O
0.622 2.025 4.086 O
2.528 0.494 5.438 O
-0.197 7.493 4.885 O
```

Calculated values
Formation energy from raw total energies (eV/atom): -1.37
D(E_F) (states/eV per atom): 0.18



Record 5
Compound: InSbTe2S
Source: Alexandria
Functional: PBEsol
Structure: optimized geometry

The structure in POSCAR format:
```
InSbTe2S
1.0
5.102 0.000 0.000
0.000 5.334 0.000
0.000 0.000 5.334
Sb S Te In
1 1 2 1
Cartesian
2.551 0.000 0.000 Sb
0.000 0.000 0.000 S
0.000 0.000 2.667 Te
0.000 2.667 0.000 Te
2.551 2.667 2.667 In
```

Calculated values
Formation energy from raw total energies (eV/atom): 0.32
D(E_F) (states/eV per atom): 1.14



Record 6
Compound: Y2PRh
Source: Alexandria
Functional: PBEsol
Structure: optimized geometry

The structure in POSCAR format:
```
Y2PRh
1.0
-2.174 1.082 -2.921
-2.374 -3.285 0.550
-1.926 2.180 4.711
Y P Rh
2 1 1
Cartesian
-5.198 1.540 1.969 Y
-1.590 1.436 1.715 Y
-1.372 0.799 -1.153 P
-3.501 0.007 0.138 Rh
```

Calculated values
Formation energy from the elements (eV per atom): -1.1806
D(E_F) (states/eV per atom): 0.42



Record 7
Compound: Ca2YCr
Source: Alexandria
Functional: PBEsol
Structure: optimized geometry

The structure in POSCAR format:
```
Ca2YCr
1.0
-1.957 2.661 -0.956
-3.979 -3.464 -1.500
-1.767 -0.588 6.044
Y Cr Ca
1 1 2
Cartesian
-2.873 -2.026 2.272 Y
-2.968 -0.401 -1.228 Cr
-2.731 1.436 3.926 Ca
-0.992 0.637 1.162 Ca
```

Calculated values
Formation energy from the elements (eV per atom): 0.5743
D(E_F) (states/eV per atom): 1.00
Energy relative to the lowest polymorph listed for this composition (meV per atom): 43



Record 8
Compound: AlSiHO4
Source: Alexandria
Functional: PBEsol
Structure: optimized geometry

The structure in POSCAR format:
```
AlSiHO4
1.0
-2.538 1.110 -3.310
-4.211 -5.362 1.431
-3.178 4.964 4.101
Al Si H O
4 4 4 16
Cartesian
-5.942 -1.561 1.350 Al
-4.275 3.099 4.185 Al
-3.986 2.272 0.871 Al
-5.652 -2.388 -1.964 Al
-7.694 -0.318 3.062 Si
-2.806 -0.640 1.853 Si
-2.233 1.029 -0.841 Si
-7.121 1.352 0.368 Si
-4.855 4.241 -0.348 H
-4.225 -1.423 -0.188 H
-5.073 -3.530 2.569 H
-5.702 2.134 2.409 H
-2.864 0.756 0.791 O
-6.333 0.458 3.852 O
-7.063 -0.045 1.430 O
-3.594 0.254 -1.631 O
-4.340 4.623 3.139 O
-4.558 -0.671 2.194 O
-5.587 -3.912 -0.918 O
-5.369 1.382 0.027 O
-6.896 -1.877 2.984 O
-2.961 -1.783 0.532 O
-3.031 2.588 -0.763 O
-6.966 2.494 1.689 O
-4.682 1.972 2.614 O
-4.991 -3.281 1.549 O
-5.246 -1.261 -0.392 O
-4.936 3.993 0.672 O
```

Calculated values
VASP energy (eV/cell): -207.300
D(E_F) (states/eV per atom): 0.00



Record 9
Compound: AlIrOs
Source: Alexandria
Functional: PBEsol
Structure: optimized geometry

The structure in POSCAR format:
```
AlIrOs
1.0
2.727 0.009 0.000
-1.305 2.395 0.000
-0.711 -1.202 6.487
Ir Os Al
1 1 1
Cartesian
0.711 1.202 2.070 Ir
0.000 0.000 4.403 Os
0.000 0.000 0.014 Al
```

Calculated values
Formation energy from the elements (eV per atom): 0.0265
D(E_F) (states/eV per atom): 0.95



Record 10
Compound: FeCo3
Source: Alexandria
Functional: PBEsol
Structure: optimized geometry

The structure in POSCAR format:
```
FeCo3
1.0
-1.912 -0.881 1.842
0.733 -3.708 -1.012
6.107 1.877 5.112
Co Fe
6 2
Cartesian
4.064 -1.734 5.513 Co
3.610 -1.187 3.180 Co
1.318 -1.526 2.762 Co
0.865 -0.979 0.429 Co
2.320 0.224 4.639 Co
2.609 -2.937 1.303 Co
4.627 0.563 5.072 Fe
0.302 -3.275 0.871 Fe
```

Calculated values
Formation energy from the elements (eV per atom): 0.0553
D(E_F) (states/eV per atom): 1.10



Record 11
Compound: TaReMo2C
Source: Alexandria
Functional: PBEsol
Structure: optimized geometry

The structure in POSCAR format:
```
TaReMo2C
1.0
-1.132 3.431 2.911
-2.933 1.713 -3.160
-3.535 -2.705 1.815
Re Mo C Ta
1 2 1 1
Cartesian
0.000 0.000 0.000 Re
-1.467 0.857 -1.580 Mo
-0.566 1.716 1.455 Mo
-3.800 1.220 0.783 C
-1.767 -1.353 0.907 Ta
```

Calculated values
Formation energy from the elements (eV per atom): 2.9006
D(E_F) (states/eV per atom): 1.10



Record 12
Compound: Si2NiHg
Source: Alexandria
Functional: PBEsol
Structure: optimized geometry

The structure in POSCAR format:
```
Si2NiHg
1.0
-1.714 2.108 0.768
-1.114 -1.639 2.012
5.421 2.556 5.084
Hg Ni Si
1 1 2
Cartesian
-1.414 0.235 1.390 Hg
1.296 1.513 3.932 Ni
3.681 1.735 3.452 Si
1.740 0.821 1.632 Si
```

Calculated values
Formation energy from raw total energies (eV/atom): 0.05
D(E_F) (states/eV per atom): 0.38



Record 13
Compound: CuP2Ir
Source: Alexandria
Functional: PBEsol
Structure: optimized geometry

The structure in POSCAR format:
```
CuP2Ir
1.0
2.941 0.000 0.000
0.000 4.254 0.007
0.000 -0.836 4.171
Cu Ir P
1 1 2
Cartesian
1.471 0.000 0.000 Cu
1.471 1.709 2.089 Ir
0.000 2.127 0.003 P
0.000 -0.418 2.085 P
```

Calculated values
Formation energy from the elements (eV per atom): 0.1645
D(E_F) (states/eV per atom): 0.49
Energy relative to the lowest polymorph listed for this composition (meV per atom): 337



Record 14
Compound: CeDy4S7
Source: Alexandria
Functional: PBEsol
Structure: optimized geometry

The structure in POSCAR format:
```
CeDy4S7
1.0
-3.143 -1.714 1.188
-0.013 -0.443 -6.659
6.230 -9.055 3.412
Ce Dy S
1 4 7
Cartesian
2.267 -4.110 0.067 Ce
0.206 -2.460 -3.004 Dy
2.856 -8.729 0.946 Dy
3.060 -11.189 -2.065 Dy
0.827 -7.122 -2.101 Dy
3.248 -6.607 -0.942 S
-0.180 -4.653 -1.201 S
-1.765 -1.717 -1.158 S
4.838 -9.483 -0.888 S
-1.703 -3.954 -4.223 S
4.753 -7.214 2.162 S
1.570 -5.862 -4.306 S
```

Calculated values
Formation energy from raw total energies (eV/atom): -2.07
D(E_F) (states/eV per atom): 0.70



Record 15
Compound: NbSiNF2
Source: Alexandria
Functional: PBEsol
Structure: optimized geometry

The structure in POSCAR format:
```
NbSiNF2
1.0
-1.598 3.403 1.494
-0.208 -1.743 3.748
3.796 1.403 0.864
Nb N Si F
1 1 1 2
Cartesian
0.000 0.000 0.000 Nb
-0.799 1.701 0.747 N
0.995 1.532 3.053 Si
1.898 0.702 0.432 F
-0.104 -0.872 1.874 F
```

Calculated values
Formation energy from raw total energies (eV/atom): -0.79
D(E_F) (states/eV per atom): 0.74



Record 16
Compound: Na2CuH4S2O10
Source: Alexandria
Functional: PBEsol
Structure: optimized geometry

The structure in POSCAR format:
```
Na2CuH4S2O10
1.0
-1.899 0.115 -5.251
1.548 -5.405 1.400
-11.624 -2.254 4.153
Na Cu H S O
4 2 8 4 20
Cartesian
-4.276 -3.098 0.610 Na
-9.681 -5.072 3.366 Na
-7.698 -4.446 -0.308 Na
-2.293 -2.472 -3.063 Na
-6.761 -1.070 -0.549 Cu
0.000 0.000 0.000 Cu
-4.361 -0.947 -1.409 H
-9.686 -6.758 -0.513 H
-7.614 -6.597 1.711 H
-2.288 -0.786 0.815 H
-5.024 -2.330 -1.896 H
-10.323 -5.627 0.439 H
-6.950 -5.214 2.199 H
-1.651 -1.917 -0.137 H
-5.085 -4.819 -2.402 S
-10.885 -3.258 1.167 S
-6.889 -2.725 2.704 S
-1.089 -4.286 -0.865 S
-2.269 -6.059 2.609 O
-10.455 -1.872 0.926 O
-9.706 -1.486 -2.307 O
-1.520 -5.672 -0.623 O
-5.425 -4.703 -0.970 O
-11.969 -3.650 0.244 O
-6.549 -2.841 1.272 O
-0.006 -3.894 0.059 O
-4.464 -5.124 2.059 O
-11.378 -3.411 2.591 O
-7.511 -2.420 -1.756 O
-0.596 -4.133 -2.288 O
-4.510 -3.530 -2.891 O
-9.744 -4.215 1.043 O
-7.465 -4.014 3.193 O
-2.231 -3.329 -0.740 O
-5.031 -1.658 -1.140 O
-10.568 -6.347 -0.227 O
-6.944 -5.886 1.443 O
-1.407 -1.197 0.530 O
```

Calculated values
VASP energy (eV/cell): -215.610



Record 17
Compound: SrAl2Ag
Source: Alexandria
Functional: PBEsol
Structure: optimized geometry

The structure in POSCAR format:
```
SrAl2Ag
1.0
4.409 0.000 0.000
2.205 3.818 0.000
2.205 1.273 5.740
Sr Al Ag
1 2 1
Cartesian
0.000 0.000 0.000 Sr
2.205 1.273 2.240 Al
6.614 3.818 3.500 Al
4.409 2.546 2.870 Ag
```

Calculated values
Formation energy from the elements (eV per atom): -0.2072
D(E_F) (states/eV per atom): 0.76



Record 18
Compound: ZrBAs2Se
Source: Alexandria
Functional: PBEsol
Structure: optimized geometry

The structure in POSCAR format:
```
ZrBAs2Se
1.0
-2.957 4.090 -0.557
-3.870 -3.005 -1.519
-1.553 -0.461 4.868
As B Se Zr
2 1 1 1
Cartesian
-0.777 -0.230 2.434 As
-1.935 -1.503 -0.760 As
-4.190 0.312 1.396 B
-1.479 2.045 -0.278 Se
0.000 0.000 0.000 Zr
```

Calculated values
Formation energy from raw total energies (eV/atom): 1.02
D(E_F) (states/eV per atom): 0.79



Record 19
Compound: Ti2CoPI
Source: Alexandria
Functional: PBEsol
Structure: optimized geometry

The structure in POSCAR format:
```
Ti2CoPI
1.0
-3.840 1.655 1.245
-2.175 -4.304 -0.987
0.853 -1.489 4.613
I P Co Ti
1 1 1 2
Cartesian
0.000 0.000 0.000 I
-2.581 -2.069 2.436 P
-1.920 0.828 0.622 Co
0.427 -0.744 2.307 Ti
-1.088 -2.152 -0.493 Ti
```

Calculated values
Formation energy from raw total energies (eV/atom): 1.17
D(E_F) (states/eV per atom): 1.22



Record 20
Compound: CuSiNi
Source: Alexandria
Functional: PBEsol
Structure: optimized geometry

The structure in POSCAR format:
```
CuSiNi
1.0
2.616 0.000 0.000
-1.308 2.266 0.000
0.000 0.000 5.755
Cu Ni Si
1 1 1
Cartesian
0.000 0.000 0.021 Cu
0.000 1.510 3.746 Ni
1.308 0.755 1.988 Si
```

Calculated values
Formation energy from raw total energies (eV/atom): -0.15
D(E_F) (states/eV per atom): 0.48



Record 21
Compound: Tl2ReSi
Source: Alexandria
Functional: PBEsol
Structure: optimized geometry

The structure in POSCAR format:
```
Tl2ReSi
1.0
-2.308 -3.213 -1.240
1.652 0.278 -3.792
3.499 -1.265 3.697
Re Si Tl
1 1 2
Cartesian
-0.328 -1.468 -2.516 Re
0.000 0.000 0.000 Si
0.432 -2.973 -0.030 Tl
2.411 -1.228 -1.306 Tl
```

Calculated values
Formation energy from raw total energies (eV/atom): 1.07
D(E_F) (states/eV per atom): 0.75
Energy relative to the lowest polymorph listed for this composition (meV per atom): 725



Record 22
Compound: Y2GaH2
Source: Alexandria
Functional: PBEsol
Structure: optimized geometry

The structure in POSCAR format:
```
Y2GaH2
1.0
-0.140 2.887 2.101
1.794 -1.761 2.539
4.434 1.405 -4.673
Y H Ga
2 2 1
Cartesian
3.743 1.400 -1.674 Y
2.346 1.131 1.641 Y
3.528 0.104 0.093 H
2.560 2.427 -0.126 H
0.000 0.000 0.000 Ga
```

Calculated values
VASP energy (eV/cell): -27.242
D(E_F) (states/eV per atom): 0.26



Record 23
Compound: TaSiHg2
Source: Alexandria
Functional: PBEsol
Structure: optimized geometry

The structure in POSCAR format:
```
TaSiHg2
1.0
-3.855 -1.075 -0.343
0.211 -1.884 3.541
0.586 5.250 0.481
Hg Si Ta
2 1 1
Cartesian
0.000 0.000 0.000 Hg
-2.546 1.348 0.869 Hg
-1.822 -1.479 1.599 Si
-0.513 0.944 2.810 Ta
```

Calculated values
Formation energy from raw total energies (eV/atom): 0.38
D(E_F) (states/eV per atom): 0.52



Record 24
Compound: GeO2
Source: Alexandria
Functional: PBEsol
Structure: optimized geometry

The structure in POSCAR format:
```
GeO2
1.0
-4.507 -1.829 -1.279
0.127 -1.645 -7.073
0.646 -7.163 -1.012
Ge O
4 8
Cartesian
-0.805 -7.525 -8.075 Ge
-2.929 -3.112 -1.289 Ge
-2.938 -9.722 -7.306 Ge
-0.796 -0.915 -2.058 Ge
0.079 -1.760 -0.791 O
-3.142 -4.200 -6.733 O
-0.592 -6.437 -2.631 O
0.063 -0.823 -3.536 O
-1.484 -8.774 -7.042 O
-3.814 -8.877 -8.573 O
-1.930 -4.496 -1.146 O
-2.250 -1.863 -2.322 O
```

Calculated values
Formation energy from raw total energies (eV/atom): -1.59
D(E_F) (states/eV per atom): 0.00



Record 25
Compound: NaHgSb2F
Source: Alexandria
Functional: PBEsol
Structure: optimized geometry

The structure in POSCAR format:
```
NaHgSb2F
1.0
-0.974 -0.318 -4.388
-4.920 -2.294 1.259
-2.323 5.063 0.148
Sb F Hg Na
2 1 1 1
Cartesian
-1.161 2.532 0.074 Sb
-2.460 -1.147 0.629 Sb
-0.487 -0.159 -2.194 F
0.000 0.000 0.000 Hg
-4.109 1.225 -1.491 Na
```

Calculated values
Formation energy from raw total energies (eV/atom): -0.12
D(E_F) (states/eV per atom): 0.72